Record 1
Entry from Alexandria via LeMat-Bulk: crystalline Mg2CdPb5 at its relaxed geometry (PBE-GGA).

```
Mg2CdPb5
1.0
3.492 0.000 0.000
-1.746 8.013 0.000
0.000 0.000 17.149
Pb Cd Mg
10 2 4
Cartesian
0.000 4.688 7.161
0.000 4.688 1.414
1.746 3.325 9.988
1.746 3.325 15.735
1.746 6.570 16.270
1.746 4.080 4.287
1.746 6.570 9.453
0.000 1.443 0.879
0.000 1.443 7.695
0.000 3.933 12.862
1.746 6.584 12.862
0.000 1.429 4.287
1.746 6.942 2.716
0.000 1.071 14.433
1.746 6.942 5.859
0.000 1.071 11.290
```

Summary:
**Distance to the lowest polymorph of the same formula**: 0.083 eV per atom
**Space-group type**: Cmcm, No. 63

Record 2
Entry from Alexandria via LeMat-Bulk: crystalline Mg2CdPb at its relaxed geometry (PBE-GGA).

```
Mg2CdPb
1.0
5.721 -0.054 -0.012
4.722 3.230 -0.012
0.908 0.276 5.193
Cd Mg Pb
1 2 1
Cartesian
2.843 0.865 1.115
8.492 2.583 3.816
10.446 3.178 0.101
5.687 1.730 2.700
```

Summary:
**Space-group type**: Cm, No. 8

Record 3
Entry from Alexandria via LeMat-Bulk: crystalline MgCd2Pb2 at its relaxed geometry (PBE-GGA).

```
MgCd2Pb2
1.0
7.705 0.000 0.000
0.000 7.705 0.000
0.000 0.000 4.620
Mg Cd Pb
2 4 4
Cartesian
3.852 3.852 0.000
0.000 0.000 0.000
4.889 1.036 0.000
6.668 4.889 0.000
1.036 2.816 0.000
2.816 6.668 0.000
5.182 6.375 2.310
6.375 2.523 2.310
2.523 1.329 2.310
1.329 5.182 2.310
```

Summary:
**Distance to the lowest polymorph of the same formula**: 0.054 eV per atom
**Space-group type**: P4/mbm, No. 127

Record 4
Entry from Alexandria via LeMat-Bulk: crystalline Mg8Cd2Pb at its relaxed geometry (PBE-GGA).

```
Mg8Cd2Pb
1.0
-0.718 4.818 -2.187
-4.126 0.717 6.541
7.740 -0.211 0.604
Cd Mg Pb
2 8 1
Cartesian
-0.516 0.435 4.735
4.131 0.071 2.410
-1.795 2.916 4.102
0.869 4.708 4.433
3.602 4.494 3.066
2.028 0.616 0.525
-0.705 0.830 1.892
0.962 3.579 1.363
4.692 2.408 0.856
1.935 1.745 3.595
-0.359 2.409 -1.094
```

Summary:
**Distance to the lowest polymorph of the same formula**: 0.032 eV per atom
**Space-group type**: C2/m, No. 12

Record 5
Entry from Alexandria via LeMat-Bulk: crystalline Mg3Cd3Pb at its relaxed geometry (PBE-GGA).

```
Mg3Cd3Pb
1.0
-4.627 -0.911 -6.150
5.032 -5.051 -3.037
-3.651 -5.807 3.608
Cd Pb Mg
6 2 6
Cartesian
-2.982 -3.131 0.266
-0.223 -6.881 1.187
-1.056 -1.719 -3.834
-5.296 -3.587 -2.809
1.603 -3.977 -0.617
1.460 -4.244 -5.353
0.000 0.000 0.000
-1.623 -5.885 -2.790
-0.568 -4.166 1.044
-5.052 -4.811 -0.369
-3.226 -1.907 -2.173
1.948 -6.692 -0.474
1.359 -2.754 -3.056
-0.954 -3.209 -6.131
```

Summary:
**Distance to the lowest polymorph of the same formula**: 0.420 eV per atom
**Space-group type**: Pm-3n, No. 223

Record 6
Entry from Alexandria via LeMat-Bulk: crystalline Mg2Cd3Pb2 at its relaxed geometry (PBE-GGA).

```
Mg2Cd3Pb2
1.0
-0.620 2.243 -3.337
-0.808 -2.897 -1.797
-11.652 0.258 4.820
Pb Mg Cd
2 2 3
Cartesian
-7.703 -0.607 1.024
-5.377 0.211 -1.339
-2.990 0.345 0.788
-9.283 2.157 0.695
-10.863 -0.242 1.857
-2.217 -0.154 -2.171
0.000 0.000 0.000
```

Summary:
**Space-group type**: Cmmm, No. 65

Record 7
Entry from Alexandria via LeMat-Bulk: crystalline MgCd2Pb6 at its relaxed geometry (PBE-GGA).

```
MgCd2Pb6
1.0
-0.794 -0.054 3.483
-2.591 -0.387 -2.429
3.191 -23.625 0.359
Mg Pb Cd
1 6 2
Cartesian
-1.992 -0.276 -0.458
-0.614 -10.478 -0.303
-1.072 -2.544 1.548
-0.179 -13.699 -0.254
0.487 -18.628 -0.179
-1.280 -5.548 -0.378
1.477 -21.411 1.836
-0.343 -7.936 1.630
0.748 -16.019 1.753
```

Summary:
**Space-group type**: P-6m2, No. 187

Record 8
Entry from Alexandria via LeMat-Bulk: crystalline Mg2CdPb at its relaxed geometry (PBE-GGA).

```
Mg2CdPb
1.0
-1.233 -0.388 -3.743
3.575 -1.352 -1.037
-1.868 -5.876 1.224
Mg Pb Cd
2 1 1
Cartesian
-1.846 -5.806 1.210
0.704 -2.338 -2.084
-0.916 -2.882 0.601
-0.270 -5.404 -1.445
```

Summary:
**Space-group type**: P4mm, No. 99

no.,spin magnetization (μB per atom),energy relative to the elements (eV per atom)
1,0.000,0.088
2,0.000,-0.053
3,0.000,0.061
4,0.000,-0.001
5,0.000,0.480
6,0.000,-0.022
7,0.000,0.042
8,0.000,-0.020